Entry 1:
This record from the Alexandria database describes an optimized crystal structure of YAg2HgF6. The functional is PBE.

Its uncorrected formation energy is -2.162 eV/atom.

The space group is P1 (No. 1) and the conventional cell measures 5.772, 5.886 and 5.915 Å, with angles of 111.30, 112.41 and 93.40 degrees. The distinct sites, in fractional coordinates, are Y at (0.000, 0.000, 0.000), Ag at (0.332, 0.666, 0.496), Ag at (0.712, 0.289, 0.544), Hg at (0.587, 0.495, 0.170), F at (0.005, 0.808, 0.610), F at (0.052, 0.279, 0.391), F at (0.102, 0.336, 0.946), F at (0.366, 0.922, 0.217), F at (0.613, 0.083, 0.816) and F at (0.730, 0.667, 0.930).

Entry 2:
This record from the Alexandria database describes an optimized crystal structure of YAgHgF6. The functional is PBE.

Its uncorrected formation energy is -2.484 eV/atom.

The space group is P4_2nm (No. 102) and the conventional cell measures 5.372, 5.372 and 11.061 Å, with angles of 90.00, 90.00 and 90.00 degrees. The distinct sites, in fractional coordinates, are Y at (0.000, 0.000, 0.000), Ag at (0.000, 0.000, 0.666), Hg at (0.000, 0.000, 0.333), F at (0.182, 0.182, 0.157), F at (0.198, 0.198, 0.854) and F at (0.211, 0.211, 0.490).